No. 1
Li6MnCoP2C2O14: optimized geometry, PBE with a Hubbard U.

The structure in POSCAR format:
```
Li6MnCoP2C2O14
1.0
5.015 0.000 0.000
0.000 6.497 0.000
-0.927 0.000 8.506
Li Mn Co P C O
6 1 1 2 2 14
Direct
0.000 0.000 0.000
0.072 0.269 0.626
0.072 0.731 0.626
0.531 0.234 0.168
0.531 0.766 0.168
0.600 0.500 0.791
0.582 0.000 0.557
0.009 0.500 0.231
0.070 0.000 0.304
0.541 0.500 0.485
0.126 0.500 0.940
0.468 0.000 0.859
0.203 0.500 0.799
0.227 0.500 0.465
0.284 0.000 0.738
0.304 0.500 0.064
0.383 0.000 0.319
0.398 0.000 0.001
0.641 0.500 0.321
0.649 0.315 0.590
0.649 0.685 0.590
0.717 0.000 0.833
0.876 0.500 0.963
0.958 0.187 0.203
0.958 0.813 0.203
0.981 0.000 0.471
```

Calculated values
The calculation puts the total energy at -6.706 eV/atom. As for the total magnetization: 0.3077 μB/atom. The space group is Pm, No. 6.



No. 2
Na5LiCo2P2C2O14: optimized geometry, PBE with a Hubbard U.

The structure in POSCAR format:
```
Na5LiCo2P2C2O14
1.0
5.196 0.000 0.000
0.000 6.719 0.000
-0.409 0.000 8.836
Na Li Co P C O
5 1 2 2 2 14
Direct
0.000 0.000 0.000
0.490 0.244 0.815
0.490 0.756 0.815
0.968 0.258 0.349
0.968 0.742 0.349
0.450 0.500 0.190
0.011 0.500 0.735
0.447 0.000 0.430
0.510 0.500 0.494
0.950 0.000 0.666
0.512 0.000 0.143
0.929 0.500 0.033
0.026 0.186 0.765
0.026 0.814 0.765
0.082 0.000 0.514
0.176 0.500 0.014
0.287 0.000 0.202
0.372 0.500 0.645
0.433 0.317 0.393
0.433 0.683 0.393
0.534 0.000 0.999
0.651 0.000 0.635
0.715 0.000 0.235
0.769 0.500 0.913
0.807 0.500 0.527
0.835 0.500 0.166
```

Calculated values
The calculation puts the total energy at -6.396 eV/atom. As for the total magnetization: 0.2327 μB/atom. The space group is Pm, No. 6.



No. 3
Na5LiCo2P2C2O14: optimized geometry, PBE with a Hubbard U.

The structure in POSCAR format:
```
Na5LiCo2P2C2O14
1.0
5.183 0.000 0.000
0.013 6.647 0.000
0.166 0.143 8.874
Na Li Co P C O
5 1 2 2 2 14
Direct
0.000 0.000 0.000
0.001 0.510 0.001
0.015 0.241 0.348
0.486 0.765 0.184
0.504 0.506 0.526
0.473 0.031 0.558
0.033 0.759 0.613
0.469 0.256 0.910
0.548 0.760 0.845
0.962 0.252 0.679
0.524 0.246 0.210
0.974 0.757 0.327
0.018 0.446 0.583
0.070 0.075 0.585
0.089 0.259 0.835
0.202 0.748 0.387
0.303 0.252 0.141
0.417 0.770 0.690
0.467 0.940 0.946
0.471 0.567 0.938
0.531 0.238 0.356
0.662 0.229 0.702
0.735 0.248 0.128
0.774 0.774 0.417
0.847 0.761 0.820
0.949 0.751 0.183
```

Calculated values
The calculation puts the total energy at -6.395 eV/atom. As for the total magnetization: 0.2341 μB/atom. The space group is P1, No. 1.



No. 4
NaLi2CoPCO7: optimized geometry, PBE with a Hubbard U.

The structure in POSCAR format:
```
NaLi2CoPCO7
1.0
5.095 0.000 0.000
0.000 6.596 0.000
-0.784 0.000 8.486
Na Li Co P C O
2 4 2 2 2 14
Direct
0.226 0.000 0.266
0.774 0.500 0.734
0.230 0.474 0.275
0.294 0.748 0.897
0.706 0.248 0.103
0.770 0.974 0.725
0.291 0.227 0.662
0.709 0.727 0.338
0.232 0.735 0.589
0.768 0.235 0.411
0.181 0.240 0.954
0.819 0.740 0.046
0.010 0.216 0.830
0.074 0.261 0.441
0.099 0.264 0.092
0.300 0.547 0.696
0.348 0.916 0.692
0.350 0.721 0.429
0.429 0.239 0.931
0.571 0.739 0.069
0.650 0.221 0.571
0.652 0.416 0.308
0.700 0.047 0.304
0.901 0.764 0.908
0.926 0.761 0.559
0.990 0.716 0.170
```

Calculated values
The calculation puts the total energy at -6.498 eV/atom. As for the total magnetization: 0.2335 μB/atom. The space group is P2_1, No. 4.